Entry 1:
A relaxed structure of HfP2O2, computed with GGA-PBE.

Calculated total energy: -6.53 eV/atom
Formation energy from raw total energies: -391 meV/atom

Lattice parameters (Å, degrees): 3.5795 3.5795 4.9557 90.00 90.00 90.00
Sites, in units of the cell vectors:
Hf  0.0000  0.0000  0.0000
P  0.0000  0.5000  0.5000
P  0.5000  0.0000  0.5000
O  0.5000  0.5000  0.0000
O  0.5000  0.5000  0.5000

***

Entry 2:
A relaxed structure of Pm3B3Ir2, computed with GGA-PBE.

Calculated total energy: -6.91 eV/atom
Energy of formation: -39 kJ per mole of atoms

Lattice parameters (Å, degrees): 6.0317 6.0317 13.0123 90.00 90.00 143.05
Sites, in units of the cell vectors:
Pm  0.0720  0.9280  0.6149
Pm  0.0720  0.9280  0.8851
Pm  0.3535  0.6465  0.7500
Pm  0.6465  0.3535  0.2500
Pm  0.9280  0.0720  0.1149
Pm  0.9280  0.0720  0.3851
B  0.3107  0.6893  0.2500
B  0.3509  0.6491  0.5427
B  0.3509  0.6491  0.9573
B  0.6491  0.3509  0.0427
B  0.6491  0.3509  0.4573
B  0.6893  0.3107  0.7500
Ir  0.2254  0.7746  0.0819
Ir  0.2254  0.7746  0.4181
Ir  0.7746  0.2254  0.5819
Ir  0.7746  0.2254  0.9181

***

Entry 3:
A relaxed structure of Fe3NiMo2, computed with GGA-PBE.

Calculated total energy: -8.81 eV/atom
Energy of formation: -1 kJ per mole of atoms

Lattice parameters (Å, degrees): 4.6782 4.6782 7.8265 90.00 90.00 120.00
Sites, in units of the cell vectors:
Fe  0.1702  0.3404  0.2500
Fe  0.1702  0.8298  0.2500
Fe  0.3404  0.1702  0.7500
Fe  0.6596  0.8298  0.2500
Fe  0.8298  0.1702  0.7500
Fe  0.8298  0.6596  0.7500
Ni  0.0000  0.0000  0.0000
Ni  0.0000  0.0000  0.5000
Mo  0.3333  0.6667  0.5644
Mo  0.3333  0.6667  0.9356
Mo  0.6667  0.3333  0.0644
Mo  0.6667  0.3333  0.4356

***

Entry 4:
A relaxed structure of RbSr2NbN, computed with GGA-PBE.

Calculated total energy: -3.99 eV/atom
Formation energy from raw total energies: 558 meV/atom

Lattice parameters (Å, degrees): 6.8218 6.8218 4.0816 90.00 90.00 90.00
Sites, in units of the cell vectors:
Rb  0.0000  0.0000  0.0000
Sr  0.0000  0.5000  0.5000
Sr  0.5000  0.0000  0.5000
Nb  0.5000  0.5000  0.5000
N  0.5000  0.5000  0.0000

***

Entry 5:
A relaxed structure of Hf2MoC3, computed with GGA-PBE.

Calculated total energy: -10.30 eV/atom
Energy of formation: -55 kJ per mole of atoms

Lattice parameters (Å, degrees): 6.4316 4.5547 9.6614 90.00 90.00 90.00
Sites, in units of the cell vectors:
Hf  0.1212  0.2500  0.2489
Hf  0.1306  0.2500  0.5802
Hf  0.3694  0.7500  0.0802
Hf  0.3788  0.7500  0.7489
Hf  0.6212  0.2500  0.2511
Hf  0.6306  0.2500  0.9198
Hf  0.8694  0.7500  0.4198
Hf  0.8788  0.7500  0.7511
Mo  0.1311  0.2500  0.9035
Mo  0.3689  0.7500  0.4035
Mo  0.6311  0.2500  0.5965
Mo  0.8689  0.7500  0.0965
C  0.1199  0.7500  0.9188
C  0.1228  0.7500  0.2504
C  0.1287  0.7500  0.5810
C  0.3713  0.2500  0.0810
C  0.3772  0.2500  0.7504
C  0.3801  0.2500  0.4188
C  0.6199  0.7500  0.5812
C  0.6228  0.7500  0.2496
C  0.6287  0.7500  0.9190
C  0.8713  0.2500  0.4190
C  0.8772  0.2500  0.7496
C  0.8801  0.2500  0.0812

***

Entry 6:
A relaxed structure of YErTlPb, computed with GGA-PBE.

Calculated total energy: -4.63 eV/atom
Energy of formation: -34 kJ per mole of atoms

Lattice parameters (Å, degrees): 5.3963 5.3963 5.3963 60.00 60.00 60.00
Sites, in units of the cell vectors:
Y  0.0000  0.0000  0.0000
Er  0.5000  0.5000  0.5000
Tl  0.2500  0.2500  0.2500
Pb  0.7500  0.7500  0.7500

***

Copy entry 1 word for word.
A relaxed structure of HfP2O2, computed with GGA-PBE.

Calculated total energy: -6.53 eV/atom
Formation energy from raw total energies: -391 meV/atom

Lattice parameters (Å, degrees): 3.5795 3.5795 4.9557 90.00 90.00 90.00
Sites, in units of the cell vectors:
Hf  0.0000  0.0000  0.0000
P  0.0000  0.5000  0.5000
P  0.5000  0.0000  0.5000
O  0.5000  0.5000  0.0000
O  0.5000  0.5000  0.5000

***

Among the records above, which one has the lowest calculated total energy?
Hf2MoC3

***

Please write out number 4 again, unchanged.
A relaxed structure of RbSr2NbN, computed with GGA-PBE.

Calculated total energy: -3.99 eV/atom
Formation energy from raw total energies: 558 meV/atom

Lattice parameters (Å, degrees): 6.8218 6.8218 4.0816 90.00 90.00 90.00
Sites, in units of the cell vectors:
Rb  0.0000  0.0000  0.0000
Sr  0.0000  0.5000  0.5000
Sr  0.5000  0.0000  0.5000
Nb  0.5000  0.5000  0.5000
N  0.5000  0.5000  0.0000